[1]
PrScZnPd: optimized geometry, GGA-PBE.

a = 4.9871 Å, b = 4.9871 Å, c = 4.9871 Å
α = 60.00°, β = 60.00°, γ = 60.00°
Closest atoms and distances in Å follow each position.
Positions (direct):
Pr: 0.0000 0.0000 0.0000  4 Pd 3.05, 4 Zn 3.05
Sc: 0.5000 0.5000 0.5000  4 Pd 3.05, 4 Zn 3.05
Zn: 0.2500 0.2500 0.2500  4 Pr 3.05, 4 Sc 3.05
Pd: 0.7500 0.7500 0.7500  4 Sc 3.05, 4 Pr 3.05

For the calculated volume, the calculation gives 88 Å³/f.u. Its calculated formation energy is -0.486 eV/atom. Its total magnetization is 0.00 μB/f.u.

[2]
In3GeH: optimized geometry, GGA-PBE.

a = 4.7349 Å, b = 4.7349 Å, c = 4.7349 Å
α = 90.00°, β = 90.00°, γ = 90.00°
Closest atoms and distances in Å follow each position.
Positions (direct):
In: 0.0000 0.0000 0.5000  2 H 2.37
In: 0.0000 0.5000 0.0000  2 H 2.37
In: 0.5000 0.0000 0.0000  2 H 2.37
Ge: 0.5000 0.5000 0.5000  12 In 3.35
H: 0.0000 0.0000 0.0000  6 In 2.37

For the calculated volume, the calculation gives 106 Å³/f.u. As for the energy above the most stable polymorph in this dataset: 0.000 eV per formula unit. Its total magnetization is 0.00 μB/f.u.

[3]
Tb8PmPr2: optimized geometry, GGA-PBE.

a = 10.1597 Å, b = 10.1597 Å, c = 5.6225 Å
α = 92.66°, β = 92.66°, γ = 40.78°
Closest atoms and distances in Å follow each position.
Positions (direct):
Tb: 0.0452 0.0452 0.2374  1 Tb 3.10, 1 Pr 3.24
Tb: 0.1037 0.6373 0.2662  4 Tb 3.30-3.60, 3 Pr 3.50-3.67, 1 Pm 3.50
Tb: 0.3145 0.3145 0.7669  4 Pr 3.37-3.59, 4 Tb 3.51-3.60, 1 Pm 3.71
Tb: 0.3627 0.8963 0.7338  4 Tb 3.30-3.60, 3 Pr 3.50-3.67, 1 Pm 3.50
Tb: 0.6373 0.1037 0.2662  4 Tb 3.30-3.60, 3 Pr 3.50-3.67, 1 Pm 3.50
Tb: 0.6855 0.6855 0.2331  4 Pr 3.37-3.59, 4 Tb 3.51-3.60, 1 Pm 3.71
Tb: 0.8963 0.3627 0.7338  4 Tb 3.30-3.60, 3 Pr 3.50-3.67, 1 Pm 3.50
Tb: 0.9548 0.9548 0.7626  1 Tb 3.10, 1 Pr 3.24
Pm: 0.5000 0.5000 0.0000  10 Tb 3.50-3.86
Pr: 0.2157 0.2157 0.2537  9 Tb 3.24-3.63
Pr: 0.7843 0.7843 0.7463  9 Tb 3.24-3.63

For the calculated volume, the calculation gives 379 Å³/f.u. As for the energy above the most stable polymorph in this dataset: 1.582 eV per formula unit. Its calculated formation energy is 0.162 eV/atom. Its total magnetization is 0.00 μB/f.u.

[4]
PmSn2Cl8: optimized geometry, GGA-PBE.

a = 7.4794 Å, b = 7.4794 Å, c = 6.8460 Å
α = 101.42°, β = 101.42°, γ = 84.64°
Closest atoms and distances in Å follow each position.
Positions (direct):
Pm: 0.0000 0.0000 0.0000  6 Cl 2.68-2.77
Sn: 0.3050 0.3050 0.4898  5 Cl 2.62-2.81
Sn: 0.6950 0.6950 0.5102  5 Cl 2.62-2.81
Cl: 0.0261 0.6679 0.7414  1 Sn 2.68, 1 Pm 2.77
Cl: 0.1588 0.1588 0.7657  1 Pm 2.68, 1 Sn 2.80
Cl: 0.3321 0.9739 0.2586  1 Sn 2.68, 1 Pm 2.77
Cl: 0.4521 0.4521 0.2461  2 Sn 2.62-2.81
Cl: 0.5479 0.5479 0.7539  2 Sn 2.62-2.81
Cl: 0.6679 0.0261 0.7414  1 Sn 2.68, 1 Pm 2.77
Cl: 0.8412 0.8412 0.2343  1 Pm 2.68, 1 Sn 2.80
Cl: 0.9739 0.3321 0.2586  1 Sn 2.68, 1 Pm 2.77

For the calculated volume, the calculation gives 367 Å³/f.u. The calculation puts the uncorrected formation energy at -1.32 eV/atom. As for the energy above the most stable polymorph in this dataset: 0.000 eV per formula unit. Its total magnetization is 0.00 μB/f.u.

[5]
NbGaTc2C: optimized geometry, GGA-PBE.

a = 4.0994 Å, b = 4.0994 Å, c = 4.2328 Å
α = 90.00°, β = 90.00°, γ = 90.00°
Closest atoms and distances in Å follow each position.
Positions (direct):
Nb: 0.0000 0.0000 0.0000  2 C 2.12
Ga: 0.5000 0.5000 0.0000  4 Nb 2.90, 8 Tc 2.95
Tc: 0.0000 0.5000 0.5000  2 C 2.05
Tc: 0.5000 0.0000 0.5000  2 C 2.05
C: 0.0000 0.0000 0.5000  4 Tc 2.05, 2 Nb 2.12

For the calculated volume, the calculation gives 71 Å³/f.u. Its calculated formation energy is -0.023 eV/atom. Its total magnetization is 0.00 μB/f.u.

> Among the records above, which one has the highest calculated volume?

Tb8PmPr2

> Number 2 is which compound?

In3GeH

> What is the formula in the fourth record?

PmSn2Cl8